Density functional theory data (PBE) for a relaxed structure of LiAsW2.

Lattice parameters (Å, degrees): 2.7277 4.4875 5.1135 90.00 92.84 90.00
Last column: nearest neighbours and their distance in Å.
Fractional positions:
Li: 0.0000 0.0000 0.0000  4 W 2.72, 2 Li 2.73, 4 As 2.84-2.96
As: 0.5000 0.0000 0.5000  4 W 2.67, 2 As 2.73, 4 Li 2.84-2.96
W: 0.3287 0.5000 0.7624  3 W 2.56-2.73, 2 As 2.67, 2 Li 2.72
W: 0.6713 0.5000 0.2376  3 W 2.56-2.73, 2 As 2.67, 2 Li 2.72

Symmetry: P2/m
ΔE_f (eV per atom): 0.3672
Calculated volume (A^3/atom): 15.63